No. 1
P3RhO9 PBEsol relaxed; magnetic moment = 0.00 μB/f.u.; VASP energy = -579.08 eV/cell
1.0
6.527 -9.557 0.000
6.527 9.557 0.000
-5.639 0.000 7.467
P Rh O
18 6 54
direct
0.004 0.275 0.965 P
0.017 0.983 0.500 P
0.052 0.777 0.614 P
0.108 0.714 0.113 P
0.275 0.004 0.465 P
0.330 0.700 0.018 P
0.339 0.946 0.970 P
0.363 0.427 0.586 P
0.393 0.686 0.558 P
0.427 0.363 0.086 P
0.595 0.647 0.434 P
0.647 0.595 0.934 P
0.686 0.393 0.058 P
0.700 0.330 0.518 P
0.714 0.108 0.613 P
0.777 0.052 0.114 P
0.946 0.339 0.470 P
0.983 0.017 0.000 P
0.040 0.529 0.302 Rh
0.184 0.345 0.772 Rh
0.345 0.184 0.272 Rh
0.529 0.040 0.802 Rh
0.674 0.850 0.267 Rh
0.850 0.674 0.767 Rh
0.002 0.335 0.639 O
0.005 0.341 0.135 O
0.011 0.595 0.127 O
0.035 0.757 0.993 O
0.052 0.469 0.481 O
0.083 0.128 0.661 O
0.096 0.722 0.485 O
0.119 0.976 0.423 O
0.128 0.083 0.161 O
0.136 0.362 0.964 O
0.194 0.902 0.807 O
0.199 0.661 0.050 O
0.229 0.331 0.580 O
0.234 0.858 0.303 O
0.251 0.610 0.384 O
0.297 0.561 0.878 O
0.320 0.791 0.923 O
0.331 0.229 0.080 O
0.335 0.002 0.139 O
0.341 0.005 0.635 O
0.358 0.368 0.413 O
0.362 0.136 0.464 O
0.368 0.358 0.913 O
0.394 0.587 0.642 O
0.444 0.828 0.715 O
0.461 0.505 0.244 O
0.468 0.791 0.200 O
0.469 0.052 0.981 O
0.505 0.461 0.744 O
0.515 0.711 0.510 O
0.561 0.297 0.378 O
0.587 0.394 0.142 O
0.595 0.011 0.627 O
0.598 0.665 0.047 O
0.610 0.251 0.884 O
0.661 0.199 0.550 O
0.663 0.944 0.123 O
0.665 0.598 0.547 O
0.694 0.756 0.411 O
0.711 0.515 0.010 O
0.722 0.096 0.985 O
0.756 0.694 0.911 O
0.757 0.035 0.493 O
0.791 0.320 0.423 O
0.791 0.468 0.700 O
0.828 0.444 0.215 O
0.858 0.234 0.803 O
0.872 0.994 0.068 O
0.877 0.916 0.329 O
0.902 0.194 0.307 O
0.916 0.877 0.829 O
0.944 0.663 0.623 O
0.976 0.119 0.923 O
0.994 0.872 0.568 O

***

No. 2
Mg2Tl PBEsol relaxed; formation energy = -58 meV per atom; magnetic moment = 0.00 μB/f.u.; VASP energy = -12.48 eV/cell
1.0
4.858 -2.694 0.000
4.858 2.694 0.000
0.000 0.000 5.329
Mg Tl
4 2
direct
0.042 0.626 0.750 Mg
0.374 0.958 0.750 Mg
0.626 0.042 0.250 Mg
0.958 0.374 0.250 Mg
0.283 0.717 0.250 Tl
0.717 0.283 0.750 Tl

***

No. 3
Cs2LiLaBr6 PBEsol relaxed; magnetic moment = 0.00 μB/f.u.; VASP energy = -38.82 eV/cell
1.0
0.000 5.576 5.576
5.576 0.000 5.576
5.576 5.576 0.000
Cs Li La Br
2 1 1 6
direct
0.250 0.250 0.250 Cs
0.750 0.750 0.750 Cs
0.000 0.000 0.000 Li
0.500 0.500 0.500 La
0.241 0.241 0.759 Br
0.241 0.759 0.241 Br
0.241 0.759 0.759 Br
0.759 0.241 0.241 Br
0.759 0.241 0.759 Br
0.759 0.759 0.241 Br

***

Number 2 is which compound?
Mg2Tl

***

Please write out number 2 again, unchanged.
Mg2Tl PBEsol relaxed; formation energy = -58 meV per atom; magnetic moment = 0.00 μB/f.u.; VASP energy = -12.48 eV/cell
1.0
4.858 -2.694 0.000
4.858 2.694 0.000
0.000 0.000 5.329
Mg Tl
4 2
direct
0.042 0.626 0.750 Mg
0.374 0.958 0.750 Mg
0.626 0.042 0.250 Mg
0.958 0.374 0.250 Mg
0.283 0.717 0.250 Tl
0.717 0.283 0.750 Tl

***

Which formula does entry 1 have?
P3RhO9